DFT (GGA-PBE) results for crystalline Sr2PuCu3H12 at its relaxed geometry.

Properties
The value obtained for the total DFT energy (no corrections) is -4.07 eV/atom.

Unit cell a=6.4956 b=6.4956 c=14.8955 alpha=90.00 beta=90.00 gamma=120.00
Space group R-3m (No. 166, hexagonal axes)
One atom of each set of equivalent atoms:
Sr (0.0000, 0.0000, 0.1118) (multiplicity 6)
Pu (0.0000, 0.0000, 0.5000) (multiplicity 3)
Cu (0.0000, 0.5000, 0.0000) (multiplicity 9)
H (0.0340, 0.5170, 0.8845) (multiplicity 18)
H (0.0865, 0.5433, 0.2981) (multiplicity 18)



DFT (GGA-PBE) results for crystalline Pu2CuTcH6 at its relaxed geometry.

Properties
The value obtained for the total DFT energy (no corrections) is -6.54 eV/atom.

Unit cell a=5.2094 b=5.2094 c=7.3915 alpha=90.00 beta=90.00 gamma=90.00
Space group I4/mmm (No. 139)
One atom of each set of equivalent atoms:
Pu (0.0000, 0.5000, 0.2500) (multiplicity 4)
Cu (0.0000, 0.0000, 0.0000) (multiplicity 2)
Tc (0.0000, 0.0000, 0.5000) (multiplicity 2)
H (0.0000, 0.0000, 0.2522) (multiplicity 4)
H (0.2487, 0.2487, 0.5000) (multiplicity 8)



DFT (GGA-PBE) results for crystalline Rb3Cu2H7 at its relaxed geometry.

Properties
The value obtained for the total DFT energy (no corrections) is -2.82 eV/atom.

Unit cell a=4.0345 b=22.3433 c=3.8337 alpha=90.00 beta=90.00 gamma=90.00
Space group Cmmm (No. 65)
One atom of each set of equivalent atoms:
Rb (0.0000, 0.0000, 0.0000) (multiplicity 2)
Rb (0.0000, 0.1718, 0.0000) (multiplicity 4)
Cu (0.0000, 0.4162, 0.5000) (multiplicity 4)
H (0.0000, 0.0841, 0.5000) (multiplicity 4)
H (0.0000, 0.3412, 0.5000) (multiplicity 4)
H (0.0000, 0.4172, 0.0000) (multiplicity 4)
H (0.0000, 0.5000, 0.5000) (multiplicity 2)



DFT (GGA-PBE) results for crystalline Rb2CuH at its relaxed geometry.

Properties
The energy above the most stable polymorph in this dataset comes out at 0 meV per atom. The value obtained for the total DFT energy (no corrections) is -2.12 eV/atom.

Unit cell a=8.1250 b=8.1250 c=9.2308 alpha=90.00 beta=90.00 gamma=90.00
Space group I-42d (No. 122)
One atom of each set of equivalent atoms:
Rb (0.1853, 0.2500, 0.1250) (multiplicity 8)
Cu (0.0000, 0.0000, 0.5000) (multiplicity 4)
H (0.0000, 0.0000, 0.0000) (multiplicity 4)



The following M_tot values (in μB per formula unit) correspond, in order, to the records above: 5.06, 10.93, 0.00, 0.00.